No. 1
Entry from the Alexandria database: Zr4MnTe after structural relaxation (PBE-GGA).

Output
The total energy is -7.3622 eV per atom. Its theoretical density is 6.63 g/cm³.

Cell: 5.7874 5.7874 5.7874 Å, 60.00 60.00 60.00°
Closest atoms and distances in Å follow each position.
Atoms (fractional coordinates):
Zr: 0.3766 0.3766 0.3766  6 Zr 2.86-2.93
Zr: 0.3766 0.8703 0.3766  6 Zr 2.86-2.93
Zr: 0.8703 0.3766 0.3766  6 Zr 2.86-2.93
Zr: 0.3766 0.3766 0.8703  6 Zr 2.86-2.93
Te: 0.0000 0.0000 0.0000  12 Zr 3.40, 4 Mn 3.54
Mn: 0.7500 0.7500 0.7500  12 Zr 3.39, 4 Te 3.54

---

No. 2
Entry from the Alexandria database: Na2CaAlH8 after structural relaxation (PBE-GGA).

Output
The total energy is -3.0125 eV per atom. Its theoretical density is 1.56 g/cm³.

Cell: 3.5635 5.3520 6.7720 Å, 89.84 90.00 90.41°
Closest atoms and distances in Å follow each position.
Atoms (fractional coordinates):
Al: 0.0000 0.0000 0.0000  4 H 1.73
H: 0.5027 0.2483 0.5000  2 Na 2.21, 2 Ca 2.22
H: 0.5009 0.8426 0.9983  1 H 1.69
H: 0.4973 0.7517 0.5000  2 Na 2.21, 2 Ca 2.22
H: 0.0022 0.7828 0.1895  1 Al 1.73
H: 0.4991 0.1574 0.0017  1 H 1.69
H: 0.9977 0.2183 0.1886  1 Al 1.73
H: 0.9978 0.2172 0.8105  1 Al 1.73
H: 0.0023 0.7817 0.8114  1 Al 1.73
Na: 0.5000 0.4994 0.7583  8 H 2.21-2.46
Na: 0.5000 0.5006 0.2417  8 H 2.21-2.46
Ca: 0.0000 0.0000 0.5000  8 H 2.22-2.41

---

No. 3
Entry from the Alexandria database: ZnCrTc3 after structural relaxation (PBE-GGA).

Output
As for the formation enthalpy at 0 K: 1.204 eV per atom. The total energy is -7.1953 eV per atom. Its theoretical density is 7.87 g/cm³. The calculation puts the energy above the most stable polymorph in this dataset at 0 meV/atom.

Cell: 4.4283 4.4283 4.4283 Å, 90.00 90.00 90.00°
Closest atoms and distances in Å follow each position.
Atoms (fractional coordinates):
Zn: 0.5000 0.5000 0.5000  12 Tc 3.13
Tc: 0.0000 0.0000 0.5000  2 Cr 2.21
Tc: 0.0000 0.5000 0.0000  2 Cr 2.21
Tc: 0.5000 0.0000 0.0000  2 Cr 2.21
Cr: 0.0000 0.0000 0.0000  6 Tc 2.21